(1)
# Nb2Hg2Pt (PBE-GGA, relaxed)
# - DFT formation energy (eV/atom) = 0.473
# - relative energy among the computed polymorphs (eV/atom) = 0.128
# - density of states at the Fermi level (states/eV/atom) = 0.97
# - mass density (g/cm3) = 12.1
data_Nb2Hg2Pt
_symmetry_space_group_name_H-M 'I 4/m m m'
_symmetry_Int_Tables_number 139
_symmetry_space_group_name_Hall '-I 4 2'
_cell_length_a 3.8383
_cell_length_b 3.8383
_cell_length_c 14.5459
_cell_angle_alpha 90.00
_cell_angle_beta 90.00
_cell_angle_gamma 90.00
loop_
_atom_site_label
_atom_site_type_symbol
_atom_site_fract_x
_atom_site_fract_y
_atom_site_fract_z
_atom_site_occupancy
Nb1 Nb 0.0000 0.0000 0.0805 1
Hg1 Hg 0.0000 0.5000 0.2500 1
Pt1 Pt 0.0000 0.0000 0.5000 1


(2)
# ZrTi3 (PBE-GGA, relaxed)
# - DFT formation energy (eV/atom) = 0.133
# - density of states at the Fermi level (states/eV/atom) = 2.12
# - mass density (g/cm3) = 5.3
data_ZrTi3
_symmetry_space_group_name_H-M 'F m -3 m'
_symmetry_Int_Tables_number 225
_symmetry_space_group_name_Hall '-F 4 2 3'
_cell_length_a 6.6699
_cell_length_b 6.6699
_cell_length_c 6.6699
_cell_angle_alpha 90.00
_cell_angle_beta 90.00
_cell_angle_gamma 90.00
loop_
_atom_site_label
_atom_site_type_symbol
_atom_site_fract_x
_atom_site_fract_y
_atom_site_fract_z
_atom_site_occupancy
Zr1 Zr 0.0000 0.0000 0.0000 1
Ti1 Ti 0.0000 0.0000 0.5000 1
Ti2 Ti 0.2500 0.2500 0.2500 1


(3)
# Tm3Re2B9 (PBE-GGA, relaxed)
# - DFT formation energy (eV/atom) = -0.265
# - density of states at the Fermi level (states/eV/atom) = 0.34
# - mass density (g/cm3) = 10.2
data_Tm3Re2B9
_symmetry_space_group_name_H-M 'I m m m'
_symmetry_Int_Tables_number 71
_symmetry_space_group_name_Hall '-I 2 2'
_cell_length_a 3.1232
_cell_length_b 7.7709
_cell_length_c 13.1152
_cell_angle_alpha 90.00
_cell_angle_beta 90.00
_cell_angle_gamma 90.00
loop_
_atom_site_label
_atom_site_type_symbol
_atom_site_fract_x
_atom_site_fract_y
_atom_site_fract_z
_atom_site_occupancy
Tm1 Tm 0.0000 0.0000 0.0000 1
Tm2 Tm 0.0000 0.0000 0.2778 1
Re1 Re 0.0000 0.1835 0.5000 1
B1 B 0.0000 0.2442 0.1302 1
B2 B 0.0000 0.3632 0.3638 1
B3 B 0.0000 0.5000 0.0000 1


(4)
# KLaTa2 (PBE-GGA, relaxed)
# - DFT formation energy (eV/atom) = 1.167
# - relative energy among the computed polymorphs (eV/atom) = 0.613
# - density of states at the Fermi level (states/eV/atom) = 1.30
# - mass density (g/cm3) = 9.2
data_KLaTa2
_symmetry_space_group_name_H-M 'C 1 2/m 1'
_symmetry_Int_Tables_number 12
_symmetry_space_group_name_Hall '-C 2y'
_cell_length_a 6.0837
_cell_length_b 11.8231
_cell_length_c 2.8456
_cell_angle_alpha 90.00
_cell_angle_beta 107.20
_cell_angle_gamma 90.00
loop_
_atom_site_label
_atom_site_type_symbol
_atom_site_fract_x
_atom_site_fract_y
_atom_site_fract_z
_atom_site_occupancy
K1 K 0.0000 0.0000 0.0000 1
La1 La 0.0000 0.5000 0.0000 1
Ta1 Ta 0.2500 0.2500 0.5000 1